The following is a DFT calculation (PBE-GGA) of an optimized crystal structure of MgCrHRh2.

**Crystal system**: tetragonal
**DOS(E_F)**: 0.40 states/eV/atom
**Total DFT energy (no corrections)**: -6.048 eV/atom

Lattice parameters (Å, degrees): 4.0478 4.0478 3.7191 90.00 90.00 90.00
With the nearest neighbours (Å) after each atom.
Positions (direct):
1 Rh 0.5000 0.0000 0.0000  2 H 2.02
2 Rh 0.0000 0.5000 0.0000  2 H 2.02
3 Cr 0.0000 0.0000 0.5000  2 H 1.86
4 Mg 0.5000 0.5000 0.5000  8 Rh 2.75, 4 Cr 2.86
5 H 0.0000 0.0000 0.0000  2 Cr 1.86, 4 Rh 2.02



The following is a DFT calculation (PBE-GGA) of an optimized crystal structure of Ba2NaLi2Au.

**Crystal system**: orthorhombic
**DOS(E_F)**: 0.62 states/eV/atom
**Calculated formation energy**: -207.2 meV/atom

Lattice parameters (Å, degrees): 7.1803 9.0653 8.9921 120.27 113.53 90.00
With the nearest neighbours (Å) after each atom.
Positions (direct):
1 Ba 0.1851 0.5408 0.3703  2 Au 3.38, 3 Li 3.42-3.77
2 Ba 0.6851 0.8295 0.3703  2 Au 3.38, 3 Li 3.42-3.77
3 Ba 0.3149 0.1705 0.6297  2 Au 3.38, 3 Li 3.42-3.77
4 Ba 0.8149 0.4592 0.6297  2 Au 3.38, 3 Li 3.42-3.77
5 Li 0.4394 0.6404 0.8787  2 Au 2.69
6 Li 0.0606 0.7617 0.1213  2 Au 2.69
7 Li 0.5606 0.3596 0.1213  2 Au 2.69
8 Li 0.9394 0.2383 0.8787  2 Au 2.69
9 Na 0.7500 0.0000 0.0000  4 Li 3.36, 2 Na 3.59
10 Na 0.2500 0.0000 0.0000  4 Li 3.36, 2 Na 3.59
11 Au 0.7500 0.5000 0.0000  4 Li 2.69
12 Au 0.2500 0.5000 0.0000  4 Li 2.69



The following is a DFT calculation (PBE-GGA) of an optimized crystal structure of NdZn6Co6.

**Crystal system**: orthorhombic
**DOS(E_F)**: 0.77 states/eV/atom
**Calculated formation energy**: -102.9 meV/atom

Lattice parameters (Å, degrees): 4.9225 6.5597 6.5597 82.13 67.96 67.96
With the nearest neighbours (Å) after each atom.
Positions (direct):
1 Zn 0.7070 0.7930 0.7930  6 Co 2.51-2.71, 2 Zn 2.76
2 Zn 0.0000 0.3410 0.6590  6 Co 2.59-2.62, 3 Zn 2.74-2.86
3 Zn 0.3517 0.6483 0.6483  3 Zn 2.55-2.76, 6 Co 2.60-2.63
4 Zn 0.0000 0.6590 0.3410  6 Co 2.59-2.62, 3 Zn 2.74-2.86
5 Zn 0.2930 0.2070 0.2070  6 Co 2.51-2.71, 2 Zn 2.76
6 Zn 0.6483 0.3517 0.3517  3 Zn 2.55-2.76, 6 Co 2.60-2.63
7 Co 0.0000 0.5000 0.0000  4 Co 2.46-2.48, 6 Zn 2.51-2.63
8 Co 0.5000 0.2370 0.7630  4 Co 2.48, 6 Zn 2.60-2.71
9 Co 0.5000 0.0000 0.5000  4 Co 2.46-2.48, 6 Zn 2.51-2.63
10 Co 0.5000 0.7630 0.2370  4 Co 2.48, 6 Zn 2.60-2.71
11 Co 0.0000 0.0000 0.5000  4 Co 2.46-2.48, 6 Zn 2.51-2.63
12 Co 0.5000 0.5000 0.0000  4 Co 2.46-2.48, 6 Zn 2.51-2.63
13 Nd 0.0000 0.0000 0.0000  8 Zn 2.94-3.04, 12 Co 3.20-3.28



The following is a DFT calculation (PBE-GGA) of an optimized crystal structure of InRuBr2.

**Polymorph energy (0 for the lowest one)**: 461 meV/atom
**Crystal system**: trigonal
**DOS(E_F)**: 1.11 states/eV/atom
**E_form (uncorrected)**: 376.1 meV per atom

Lattice parameters (Å, degrees): 10.5026 10.5026 10.5026 17.87 17.87 17.87
With the nearest neighbours (Å) after each atom.
Positions (direct):
1 In 0.5000 0.5000 0.5000  6 In 3.26, 6 Br 3.38
2 Br 0.9238 0.9238 0.9238  1 Ru 2.36
3 Br 0.0762 0.0762 0.0762  1 Ru 2.36
4 Ru 0.0000 0.0000 0.0000  2 Br 2.36



no.,size of the total moment (μB per formula unit)
1,3.08
2,0.00
3,7.46
4,0.00